(1)
VASP calculation (PBE) on a geometry-optimized SrCuRe2 structure.

Output
DOS(E_F)	5.702	states/eV per cell
calculated volume	148.9	Å³/cell
E_form	4.233	eV per formula unit

Cell lengths 3.823, 3.823, 10.183 Å; angles 90.00, 90.00, 90.00 degrees
Space group I4/mmm (No. 139)
Asymmetric unit:
Sr: 0.000 0.000 0.000 x2
Cu: 0.000 0.000 0.500 x2
Re: 0.000 0.500 0.250 x4

***

(2)
VASP calculation (PBE) on a geometry-optimized Sr3CuRe structure.

Output
DOS(E_F)	2.555	states/eV per cell
calculated volume	189.8	Å³/cell
E_form	4.727	eV per formula unit

Cell lengths 5.747, 5.747, 5.747 Å; angles 90.00, 90.00, 90.00 degrees
Space group Pm-3m (No. 221)
Asymmetric unit:
Sr: 0.000 0.000 0.500 x3
Cu: 0.500 0.500 0.500 x1
Re: 0.000 0.000 0.000 x1

***

(3)
VASP calculation (PBE) on a geometry-optimized SrCu2Re structure.

Output
DOS(E_F)	2.419	states/eV per cell
calculated volume	68.4	Å³/cell
E_form	2.520	eV per formula unit

Cell lengths 2.901, 2.901, 8.121 Å; angles 90.00, 90.00, 90.00 degrees
Space group P4mm (No. 99)
Asymmetric unit:
Sr: 0.000 0.000 0.000 x1
Cu: 0.000 0.000 0.478 x1
Cu: 0.500 0.500 0.302 x1
Re: 0.500 0.500 0.683 x1

***

(4)
VASP calculation (PBE) on a geometry-optimized SrCu2Re structure.

Output
DOS(E_F)	5.303	states/eV per cell
calculated volume	140.8	Å³/cell
E_form	2.628	eV per formula unit

Cell lengths 9.990, 2.737, 5.353 Å; angles 90.00, 105.88, 90.00 degrees
Space group Cm (No. 8)
Asymmetric unit:
Sr: 0.000 0.000 0.000 x2
Cu: 0.273 0.500 0.233 x2
Cu: 0.480 0.000 0.508 x2
Re: 0.219 0.000 0.611 x2

***

(5)
VASP calculation (PBE) on a geometry-optimized SrCuRe structure.

Output
DOS(E_F)	3.131	states/eV per cell
calculated volume	57.9	Å³/cell
E_form	3.008	eV per formula unit

Cell lengths 4.9315, 4.9315, 2.7494 Å; angles 90.00, 90.00, 120.00 degrees
Space group P-6m2 (No. 187)
Asymmetric unit:
Sr: 0.0000 0.0000 0.0000 x1
Cu: 0.3333 0.6667 0.5000 x1
Re: 0.6667 0.3333 0.5000 x1

***

(6)
VASP calculation (PBE) on a geometry-optimized SrCuRe2 structure.

Output
DOS(E_F)	3.553	states/eV per cell
calculated volume	72.0	Å³/cell
E_form	3.635	eV per formula unit

Cell lengths 3.112, 4.477, 5.165 Å; angles 90.00, 90.00, 90.00 degrees
Space group Pmmm (No. 47)
Asymmetric unit:
Sr: 0.000 0.000 0.000 x1
Cu: 0.500 0.500 0.000 x1
Re: 0.000 0.500 0.500 x1
Re: 0.500 0.000 0.500 x1

***

(7)
VASP calculation (PBE) on a geometry-optimized SrCu2Re structure.

Output
DOS(E_F)	10.804	states/eV per cell
calculated volume	296.3	Å³/cell
E_form	3.399	eV per formula unit

Cell lengths 6.667, 6.667, 6.667 Å; angles 90.00, 90.00, 90.00 degrees
Space group Fm-3m (No. 225)
Asymmetric unit:
Sr: 0.000 0.000 0.000 x4
Cu: 0.250 0.250 0.250 x8
Re: 0.000 0.000 0.500 x4

***

(8)
VASP calculation (PBE) on a geometry-optimized SrCuRe2 structure.

Output
DOS(E_F)	18.189	states/eV per cell
calculated volume	280.4	Å³/cell
E_form	3.696	eV per formula unit

Cell lengths 6.545, 6.545, 6.545 Å; angles 90.00, 90.00, 90.00 degrees
Space group F-43m (No. 216)
Asymmetric unit:
Sr: 0.000 0.000 0.000 x4
Cu: 0.250 0.250 0.250 x4
Re: 0.000 0.000 0.500 x4
Re: 0.250 0.250 0.750 x4

***

Which formula does entry 4 have?
SrCu2Re